No. 1
This record from Alexandria via LeMat-Bulk describes a PBEsol-optimized structure of Y3CdSi. The functional is SCAN.

Unit cell a=5.328 b=5.328 c=5.328 alpha=90.00 beta=90.00 gamma=90.00
Space group Pm-3m (No. 221)
Asymmetric unit:
1 Y 0.000 0.000 0.500 [3 per cell]
2 Cd 0.500 0.500 0.500 [1 per cell]
3 Si 0.000 0.000 0.000 [1 per cell]

Calculated values
ΔE_f (raw)	-1.1	eV per formula unit
density of states at the Fermi level	8.6	states/eV/cell

***

No. 2
This record from Alexandria via LeMat-Bulk describes a PBEsol-optimized structure of MgPtBr2. The functional is SCAN.

Unit cell a=6.796 b=6.796 c=6.796 alpha=90.00 beta=90.00 gamma=90.00
Space group Fm-3m (No. 225)
Asymmetric unit:
1 Mg 0.000 0.000 0.000 [4 per cell]
2 Pt 0.000 0.000 0.500 [4 per cell]
3 Br 0.250 0.250 0.250 [8 per cell]

Calculated values
ΔE_f (raw)	0.1	eV per formula unit
density of states at the Fermi level	13.7	states/eV/cell

***

No. 3
This record from Alexandria via LeMat-Bulk describes a PBEsol-optimized structure of Cs9Tl4O3. The functional is SCAN.

Unit cell a=13.309 b=13.309 c=13.309 alpha=90.00 beta=90.00 gamma=90.00
Space group I23 (No. 197)
Asymmetric unit:
1 Cs 0.000 0.000 0.364 [12 per cell]
2 Cs 0.048 0.285 0.328 [24 per cell]
3 Tl 0.088 0.088 0.088 [8 per cell]
4 Tl 0.137 0.137 0.863 [8 per cell]
5 O 0.000 0.169 0.500 [12 per cell]

Calculated values
ΔE_f (raw)	-11.9	eV per formula unit
density of states at the Fermi level	19.4	states/eV/cell

***

No. 4
This record from Alexandria via LeMat-Bulk describes a PBEsol-optimized structure of BaRhW2. The functional is SCAN.

Unit cell a=3.1481 b=3.1481 c=28.0456 alpha=90.00 beta=90.00 gamma=120.00
Space group R3m (No. 160, hexagonal axes)
Asymmetric unit:
1 Ba 0.0000 0.0000 0.0000 [3 per cell]
2 Rh 0.0000 0.0000 0.2372 [3 per cell]
3 W 0.0000 0.0000 0.5033 [3 per cell]
4 W 0.0000 0.0000 0.7727 [3 per cell]

Calculated values
E above lowest polymorph	0.205	eV per atom
DFT formation energy	0.851	eV per atom
density of states at the Fermi level	11.1	states/eV/cell

***

No. 5
This record from Alexandria via LeMat-Bulk describes a PBEsol-optimized structure of Y2MgRu. The functional is SCAN.

Unit cell a=3.394 b=3.394 c=8.106 alpha=90.00 beta=90.00 gamma=90.00
Space group P4/mmm (No. 123)
Asymmetric unit:
1 Y 0.000 0.000 0.201 [2 per cell]
2 Mg 0.500 0.500 0.500 [1 per cell]
3 Ru 0.500 0.500 0.000 [1 per cell]

Calculated values
DFT formation energy	-0.345	eV per atom
density of states at the Fermi level	2.4	states/eV/cell

***

No. 6
This record from Alexandria via LeMat-Bulk describes a PBEsol-optimized structure of K2LiP. The functional is SCAN.

Unit cell a=4.556 b=5.576 c=9.786 alpha=90.00 beta=90.00 gamma=90.00
Space group Amm2 (No. 38)
Asymmetric unit:
1 K 0.000 0.000 0.000 [2 per cell]
2 K 0.500 0.000 0.330 [2 per cell]
3 Li 0.000 0.000 0.666 [2 per cell]
4 P 0.500 0.000 0.661 [2 per cell]

Calculated values
DFT formation energy	-0.438	eV per atom

***

No. 7
This record from Alexandria via LeMat-Bulk describes a PBEsol-optimized structure of CaMg2Cu3. The functional is SCAN.

Unit cell a=4.4935 b=4.4935 c=11.9474 alpha=90.00 beta=90.00 gamma=120.00
Space group P6_3/mmc (No. 194)
Asymmetric unit:
1 Ca 0.0000 0.0000 0.2500 [2 per cell]
2 Mg 0.3333 0.6667 0.0749 [4 per cell]
3 Cu 0.0000 0.0000 0.0000 [2 per cell]
4 Cu 0.3333 0.6667 0.6423 [4 per cell]

Calculated values
DFT formation energy	-0.075	eV per atom
density of states at the Fermi level	4.6	states/eV/cell

***

No. 8
This record from Alexandria via LeMat-Bulk describes a PBEsol-optimized structure of Cd2NiAg. The functional is SCAN.

Unit cell a=4.262 b=4.262 c=7.188 alpha=90.00 beta=90.00 gamma=90.00
Space group I4/mmm (No. 139)
Asymmetric unit:
1 Cd 0.000 0.500 0.250 [4 per cell]
2 Ni 0.000 0.000 0.000 [2 per cell]
3 Ag 0.000 0.000 0.500 [2 per cell]

Calculated values
DFT formation energy	0.083	eV per atom
density of states at the Fermi level	3.8	states/eV/cell

***

One value per record, in order, for calculated total energy: -1.83760 -2.09449 -3.03348 -3.84570 -1.77988 -0.57326 -0.80431 -1.98514 Ry/atom.
One value per record, in order, for calculated volume: 30.25 19.61 36.83 20.06 23.34 31.07 17.41 16.32 Å³ per atom.